DFT (GGA-PBE) results for RbCaCd4 after structural relaxation.

Total magnetic moment   0.00 μB/atom
E_form   -0.1065 eV per atom
Uncorrected energy   -1.2115 eV per atom

a b c (Å): 8.8569 8.8569 8.8569
angles (deg): 90.00 90.00 90.00
Last column: nearest neighbours and their distance in Å.
Space group F-43m (No. 216)
Inequivalent atoms, fractional coordinates:
Rb (0.0000, 0.0000, 0.0000) (multiplicity 4)  12 Cd 3.67, 4 Ca 3.84
Ca (0.2500, 0.2500, 0.7500) (multiplicity 4)  12 Cd 3.67, 4 Rb 3.84
Cd (0.1244, 0.1244, 0.3756) (multiplicity 16)  6 Cd 3.12-3.15